(1)
Density functional theory data (PBE) for a relaxed UZn2Ag crystal.

Structure (CIF):
```
data_UZn2Ag
_chemical_formula_sum 'U1 Zn2 Ag1'
_space_group_name_H-M_alt 'P 1'
_space_group_IT_number 1
_space_group_name_Hall 'P 1'
_cell_length_a 2.8182
_cell_length_b 2.8182
_cell_length_c 8.7608
_cell_angle_alpha 90.00
_cell_angle_beta 90.00
_cell_angle_gamma 90.00
loop_
_atom_site_label
_atom_site_fract_x
_atom_site_fract_y
_atom_site_fract_z
Zn1 0.0000 0.0000 0.7726
Zn2 0.0000 0.0000 0.2274
Ag1 0.5000 0.5000 0.0000
U1 0.5000 0.5000 0.5000
```

Results
The calculation puts the formation energy at 26.4 meV/atom.

=====

(2)
Density functional theory data (PBE) for a relaxed SnPbF4 crystal.

Structure (CIF):
```
data_SnPbF4
_chemical_formula_sum 'Sn2 Pb2 F8'
_space_group_name_H-M_alt 'P 1'
_space_group_IT_number 1
_space_group_name_Hall 'P 1'
_cell_length_a 4.3914
_cell_length_b 4.3914
_cell_length_c 10.8086
_cell_angle_alpha 90.00
_cell_angle_beta 90.00
_cell_angle_gamma 90.00
loop_
_atom_site_label
_atom_site_fract_x
_atom_site_fract_y
_atom_site_fract_z
F1 0.0000 0.0000 0.5000
F2 0.5000 0.5000 0.5000
F3 0.0000 0.5000 0.3365
F4 0.0000 0.0000 0.1996
F5 0.5000 0.0000 0.6635
F6 0.5000 0.5000 0.1996
F7 0.5000 0.5000 0.8004
F8 0.0000 0.0000 0.8004
Pb1 0.5000 0.0000 0.3815
Pb2 0.0000 0.5000 0.6185
Sn1 0.5000 0.0000 0.8591
Sn2 0.0000 0.5000 0.1409
```

Results
The value obtained for the calculated total energy is -4.847 eV/atom.

=====

(3)
Density functional theory data (PBE) for a relaxed Sm5Dy3Bi8 crystal.

Structure (CIF):
```
data_Sm5Dy3Bi8
_chemical_formula_sum 'Sm5 Dy3 Bi8'
_space_group_name_H-M_alt 'P 1'
_space_group_IT_number 1
_space_group_name_Hall 'P 1'
_cell_length_a 9.0581
_cell_length_b 9.0581
_cell_length_c 9.0560
_cell_angle_alpha 59.99
_cell_angle_beta 59.99
_cell_angle_gamma 60.00
loop_
_atom_site_label
_atom_site_fract_x
_atom_site_fract_y
_atom_site_fract_z
Bi1 0.7500 0.2463 0.2537
Bi2 0.2482 0.2482 0.2555
Bi3 0.2500 0.7537 0.7463
Bi4 0.2463 0.7500 0.2537
Bi5 0.7500 0.7500 0.2537
Bi6 0.7518 0.7518 0.7445
Bi7 0.2500 0.2500 0.7463
Bi8 0.7537 0.2500 0.7463
Sm1 0.5000 0.5000 0.0000
Sm2 0.5000 0.0000 0.0000
Sm3 0.5000 0.5000 0.5000
Sm4 0.0000 0.5000 0.0000
Sm5 0.0000 0.0000 0.0000
Dy1 0.0000 0.5000 0.5000
Dy2 0.5000 0.0000 0.5000
Dy3 0.0000 0.0000 0.5000
```

Results
The calculation puts the formation energy at -898.7 meV/atom.

=====

(4)
Density functional theory data (PBE) for a relaxed Cs2KSb crystal.

Structure (CIF):
```
data_Cs2KSb
_chemical_formula_sum 'Cs4 K2 Sb2'
_space_group_name_H-M_alt 'P 1'
_space_group_IT_number 1
_space_group_name_Hall 'P 1'
_cell_length_a 5.7135
_cell_length_b 5.7135
_cell_length_c 13.6069
_cell_angle_alpha 77.88
_cell_angle_beta 77.88
_cell_angle_gamma 90.00
loop_
_atom_site_label
_atom_site_fract_x
_atom_site_fract_y
_atom_site_fract_z
Cs1 0.3750 0.3673 0.7500
Cs2 0.1173 0.6250 0.2500
Cs3 0.6327 0.1250 0.2500
Cs4 0.8750 0.8827 0.7500
Sb1 0.7500 0.2500 0.5000
Sb2 0.0000 0.0000 0.0000
K1 0.2500 0.7500 0.5000
K2 0.5000 0.5000 0.0000
```

Results
The value obtained for the calculated total energy is -1.820 eV/atom.

=====

(5)
Density functional theory data (PBE) for a relaxed La6Sn3Bi crystal.

Structure (CIF):
```
data_La6Sn3Bi
_chemical_formula_sum 'La12 Sn6 Bi2'
_space_group_name_H-M_alt 'P 1'
_space_group_IT_number 1
_space_group_name_Hall 'P 1'
_cell_length_a 8.3294
_cell_length_b 9.5469
_cell_length_c 9.5469
_cell_angle_alpha 112.44
_cell_angle_beta 90.00
_cell_angle_gamma 90.00
loop_
_atom_site_label
_atom_site_fract_x
_atom_site_fract_y
_atom_site_fract_z
La1 0.1642 0.7116 0.2884
La2 0.7583 0.9060 0.4902
La3 0.2583 0.4902 0.9060
La4 0.6229 0.2420 0.3276
La5 0.2574 0.9797 0.0203
La6 0.6229 0.6724 0.7580
La7 0.1229 0.3276 0.2420
La8 0.6642 0.2884 0.7116
La9 0.7574 0.0203 0.9797
La10 0.2583 0.0940 0.5098
La11 0.7583 0.5098 0.0940
La12 0.1229 0.7580 0.6724
Sn1 0.3502 0.4419 0.5581
Sn2 0.9682 0.7300 0.9798
Sn3 0.9682 0.0202 0.2700
Sn4 0.4682 0.9798 0.7300
Sn5 0.8502 0.5581 0.4419
Sn6 0.4682 0.2700 0.0202
Bi1 0.0149 0.1730 0.8270
Bi2 0.5149 0.8270 0.1730
```

Results
The calculation puts the formation energy at -584.4 meV/atom.

=====

(6)
Density functional theory data (PBE) for a relaxed PrIn6Ni4 crystal.

Structure (CIF):
```
data_PrIn6Ni4
_chemical_formula_sum 'Pr1 In6 Ni4'
_space_group_name_H-M_alt 'P 1'
_space_group_IT_number 1
_space_group_name_Hall 'P 1'
_cell_length_a 6.7846
_cell_length_b 6.7846
_cell_length_c 6.7846
_cell_angle_alpha 89.65
_cell_angle_beta 120.20
_cell_angle_gamma 120.20
loop_
_atom_site_label
_atom_site_fract_x
_atom_site_fract_y
_atom_site_fract_z
In1 0.6352 0.1084 0.1084
In2 0.0000 0.5267 0.8916
In3 0.0000 0.8916 0.5267
In4 0.5000 0.0000 0.5000
In5 0.3648 0.4733 0.4733
In6 0.5000 0.5000 0.0000
Ni1 0.0000 0.5922 0.2672
Ni2 0.3250 0.7328 0.7328
Ni3 0.6750 0.4078 0.4078
Ni4 0.0000 0.2672 0.5922
Pr1 0.0000 0.0000 0.0000
```

Results
The calculation puts the formation energy at -284.3 meV/atom.

=====

(7)
Density functional theory data (PBE) for a relaxed La2Si3Pd5 crystal.

Structure (CIF):
```
data_La2Si3Pd5
_chemical_formula_sum 'La4 Si6 Pd10'
_space_group_name_H-M_alt 'P 1'
_space_group_IT_number 1
_space_group_name_Hall 'P 1'
_cell_length_a 4.3088
_cell_length_b 7.0855
_cell_length_c 12.8268
_cell_angle_alpha 90.00
_cell_angle_beta 99.67
_cell_angle_gamma 90.00
loop_
_atom_site_label
_atom_site_fract_x
_atom_site_fract_y
_atom_site_fract_z
Pd1 0.7252 0.5673 0.4505
Pd2 0.0487 0.4795 0.0975
Pd3 0.5774 0.7280 0.1549
Pd4 0.2921 0.6708 0.5841
Pd5 0.9513 0.9795 0.9025
Pd6 0.2748 0.0673 0.5495
Pd7 0.8560 0.7877 0.7120
Pd8 0.7079 0.1708 0.4159
Pd9 0.1440 0.2877 0.2880
Pd10 0.4226 0.2280 0.8451
Si1 0.6343 0.4508 0.2687
Si2 0.9641 0.3220 0.9282
Si3 0.2379 0.3821 0.4757
Si4 0.7621 0.8821 0.5243
Si5 0.0359 0.8220 0.0718
Si6 0.3657 0.9508 0.7313
La1 0.8361 0.3230 0.6723
La2 0.5443 0.1536 0.0886
La3 0.1639 0.8230 0.3277
La4 0.4557 0.6536 0.9114
```

Results
The polymorph energy (0 for the lowest one) is 0.000 kcal/mol of atoms.

=====

(8)
Density functional theory data (PBE) for a relaxed MgMo2Se crystal.

Structure (CIF):
```
data_MgMo2Se
_chemical_formula_sum 'Mg1 Mo2 Se1'
_space_group_name_H-M_alt 'P 1'
_space_group_IT_number 1
_space_group_name_Hall 'P 1'
_cell_length_a 8.8656
_cell_length_b 8.8656
_cell_length_c 8.8656
_cell_angle_alpha 19.56
_cell_angle_beta 19.56
_cell_angle_gamma 19.56
loop_
_atom_site_label
_atom_site_fract_x
_atom_site_fract_y
_atom_site_fract_z
Se1 0.2500 0.2500 0.2500
Mg1 0.7500 0.7500 0.7500
Mo1 0.5090 0.5090 0.5090
Mo2 0.9910 0.9910 0.9910
```

Results
The polymorph energy (0 for the lowest one) is 6.430 kcal/mol of atoms.

=====

(9)
Density functional theory data (PBE) for a relaxed MgSi2P crystal.

Structure (CIF):
```
data_MgSi2P
_chemical_formula_sum 'Mg1 Si2 P1'
_space_group_name_H-M_alt 'P 1'
_space_group_IT_number 1
_space_group_name_Hall 'P 1'
_cell_length_a 5.0531
_cell_length_b 5.0531
_cell_length_c 5.0531
_cell_angle_alpha 141.32
_cell_angle_beta 123.66
_cell_angle_gamma 70.43
loop_
_atom_site_label
_atom_site_fract_x
_atom_site_fract_y
_atom_site_fract_z
Si1 0.7795 0.2795 0.5000
Si2 0.0137 0.0137 0.0000
P1 0.2141 0.7141 0.5000
Mg1 0.4927 0.4927 0.0000
```

Results
The polymorph energy (0 for the lowest one) is 4.125 kcal/mol of atoms.

=====

(10)
Density functional theory data (PBE) for a relaxed CuSn3Bi crystal.

Structure (CIF):
```
data_CuSn3Bi
_chemical_formula_sum 'Cu1 Sn3 Bi1'
_space_group_name_H-M_alt 'P 1'
_space_group_IT_number 1
_space_group_name_Hall 'P 1'
_cell_length_a 5.9230
_cell_length_b 5.9230
_cell_length_c 5.9230
_cell_angle_alpha 90.00
_cell_angle_beta 90.00
_cell_angle_gamma 90.00
loop_
_atom_site_label
_atom_site_fract_x
_atom_site_fract_y
_atom_site_fract_z
Sn1 0.0000 0.5000 0.0000
Sn2 0.0000 0.0000 0.5000
Sn3 0.5000 0.0000 0.0000
Bi1 0.0000 0.0000 0.0000
Cu1 0.5000 0.5000 0.5000
```

Results
The polymorph energy (0 for the lowest one) is 21.499 kcal/mol of atoms. The calculation puts the formation energy at 1117.5 meV/atom.

=====

(11)
Density functional theory data (PBE) for a relaxed Tm6SbTe3S2 crystal.

Structure (CIF):
```
data_Tm6SbTe3S2
_chemical_formula_sum 'Tm6 Sb1 Te3 S2'
_space_group_name_H-M_alt 'P 1'
_space_group_IT_number 1
_space_group_name_Hall 'P 1'
_cell_length_a 7.1339
_cell_length_b 7.1339
_cell_length_c 7.3351
_cell_angle_alpha 99.37
_cell_angle_beta 99.37
_cell_angle_gamma 119.89
loop_
_atom_site_label
_atom_site_fract_x
_atom_site_fract_y
_atom_site_fract_z
S1 0.6683 0.3317 0.0000
S2 0.3317 0.6683 0.0000
Sb1 0.0000 0.0000 0.0000
Te1 0.5000 0.5000 0.5000
Te2 0.8411 0.1589 0.5000
Te3 0.1589 0.8411 0.5000
Tm1 0.4279 0.0724 0.2143
Tm2 0.2878 0.2878 0.7921
Tm3 0.5721 0.9276 0.7857
Tm4 0.0724 0.4279 0.2143
Tm5 0.9276 0.5721 0.7857
Tm6 0.7122 0.7122 0.2079
```

Results
The value obtained for the calculated total energy is -5.467 eV/atom.

=====

(12)
Density functional theory data (PBE) for a relaxed SrLiLa crystal.

Structure (CIF):
```
data_SrLiLa
_chemical_formula_sum 'Sr1 Li1 La1'
_space_group_name_H-M_alt 'P 1'
_space_group_IT_number 1
_space_group_name_Hall 'P 1'
_cell_length_a 3.8300
_cell_length_b 3.8300
_cell_length_c 8.9473
_cell_angle_alpha 90.00
_cell_angle_beta 90.00
_cell_angle_gamma 120.00
loop_
_atom_site_label
_atom_site_fract_x
_atom_site_fract_y
_atom_site_fract_z
Li1 0.6667 0.3333 0.3244
La1 0.0000 0.0000 0.0230
Sr1 0.3333 0.6667 0.6526
```

Results
The polymorph energy (0 for the lowest one) is 2.807 kcal/mol of atoms. The calculation puts the formation energy at 181.9 meV/atom.